The following is a PBE-GGA calculation of a relaxed structure of SrLa4S5, from Alexandria via LeMat-Bulk.

```
SrLa4S5
1.0
6.944 -2.081 0.000
6.944 2.081 0.000
-5.063 0.000 8.909
Sr La S
1 4 5
Direct
0.000 0.000 0.000 Sr
0.198 0.198 0.794 La
0.401 0.401 0.597 La
0.599 0.599 0.403 La
0.802 0.802 0.206 La
0.000 0.000 0.500 S
0.199 0.199 0.301 S
0.397 0.397 0.099 S
0.603 0.603 0.901 S
0.801 0.801 0.699 S
```

Calculated values
- volume (Å³ per atom) = 25.75
- space group = C2/m, No. 12
- energy relative to the elements, uncorrected (meV per atom) = -2144

***

The following is a PBE-GGA calculation of a relaxed structure of Sr2LaS2, from Alexandria via LeMat-Bulk.

```
Sr2LaS2
1.0
8.107 0.000 0.000
0.000 8.107 0.000
0.000 0.000 4.192
Sr La S
4 2 4
Direct
0.155 0.345 0.000 Sr
0.345 0.845 0.000 Sr
0.655 0.155 0.000 Sr
0.845 0.655 0.000 Sr
0.000 0.000 0.500 La
0.500 0.500 0.500 La
0.159 0.659 0.500 S
0.341 0.159 0.500 S
0.659 0.841 0.500 S
0.841 0.341 0.500 S
```

Calculated values
- volume (Å³ per atom) = 27.55
- space group = P4/mbm, No. 127
- energy above the most stable polymorph in this dataset (meV/atom) = 0
- energy relative to the elements, uncorrected (meV per atom) = -1412

***

The following is a PBE-GGA calculation of a relaxed structure of SrLaS2, from Alexandria via LeMat-Bulk.

```
SrLaS2
1.0
2.192 1.266 8.581
-2.192 1.266 8.581
0.000 -2.532 8.581
Sr La S
1 1 2
Direct
0.000 0.000 0.000 Sr
0.500 0.500 0.500 La
0.111 0.111 0.111 S
0.889 0.889 0.889 S
```

Calculated values
- volume (Å³ per atom) = 35.72
- space group = R-3m, No. 166
- energy above the most stable polymorph in this dataset (meV/atom) = 372
- energy relative to the elements, uncorrected (meV per atom) = -1738

***

The following is a PBE-GGA calculation of a relaxed structure of Sr3La4S8, from Alexandria via LeMat-Bulk.

```
Sr3La4S8
1.0
5.938 -5.952 0.000
5.938 5.952 0.000
-5.921 0.000 5.970
Sr La S
3 4 8
Direct
0.000 0.000 0.000 Sr
0.000 0.500 0.000 Sr
0.500 0.000 0.000 Sr
0.000 0.500 0.500 La
0.500 0.000 0.500 La
0.500 0.500 0.000 La
0.500 0.500 0.500 La
0.252 0.748 0.000 S
0.257 0.743 0.500 S
0.258 0.258 0.506 S
0.265 0.265 0.019 S
0.735 0.735 0.981 S
0.742 0.742 0.494 S
0.743 0.257 0.500 S
0.748 0.252 0.000 S
```

Calculated values
- volume (Å³ per atom) = 28.14
- space group = C2/m, No. 12
- energy relative to the elements, uncorrected (meV per atom) = -2116

***

The following is a PBE-GGA calculation of a relaxed structure of Sr2LaS3, from Alexandria via LeMat-Bulk.

```
Sr2LaS3
1.0
-2.111 2.988 6.358
2.111 -2.988 6.358
2.111 2.988 -6.358
Sr La S
2 1 3
Direct
0.168 0.168 0.000 Sr
0.832 0.832 0.000 Sr
0.500 0.500 0.000 La
0.000 0.500 0.500 S
0.338 0.838 0.500 S
0.662 0.162 0.500 S
```

Calculated values
- volume (Å³ per atom) = 26.74
- space group = Immm, No. 71
- energy relative to the elements, uncorrected (meV per atom) = -2109

***

The following is a PBE-GGA calculation of a relaxed structure of Sr4LaS5, from Alexandria via LeMat-Bulk.

```
Sr4LaS5
1.0
-2.122 2.122 15.078
2.122 -2.122 15.078
2.122 2.122 -15.078
Sr La S
4 1 5
Direct
0.100 0.100 0.000 Sr
0.300 0.300 0.000 Sr
0.700 0.700 0.000 Sr
0.900 0.900 0.000 Sr
0.500 0.500 0.000 La
0.000 0.000 0.000 S
0.200 0.200 0.000 S
0.402 0.402 0.000 S
0.598 0.598 0.000 S
0.800 0.800 0.000 S
```

Calculated values
- volume (Å³ per atom) = 27.17
- space group = I4/mmm, No. 139
- energy relative to the elements, uncorrected (meV per atom) = -2132

***

The following is a PBE-GGA calculation of a relaxed structure of Sr2LaS2, from Alexandria via LeMat-Bulk.

```
Sr2LaS2
1.0
-2.241 2.241 7.021
2.241 -2.241 7.021
2.241 2.241 -7.021
Sr La S
2 1 2
Direct
0.250 0.750 0.500 Sr
0.750 0.250 0.500 Sr
0.000 0.000 0.000 La
0.390 0.390 0.000 S
0.610 0.610 0.000 S
```

Calculated values
- volume (Å³ per atom) = 28.22
- space group = I4/mmm, No. 139
- energy above the most stable polymorph in this dataset (meV/atom) = 451
- energy relative to the elements, uncorrected (meV per atom) = -961

***

The following is a PBE-GGA calculation of a relaxed structure of SrLa5S8, from Alexandria via LeMat-Bulk.

```
SrLa5S8
1.0
-4.392 4.392 4.380
4.392 -4.392 4.380
4.392 4.392 -4.380
Sr La S
1 5 8
Direct
0.000 0.000 0.000 Sr
0.122 0.499 0.878 La
0.250 0.750 0.500 La
0.501 0.379 0.623 La
0.621 0.244 0.122 La
0.756 0.878 0.377 La
0.024 0.278 0.402 S
0.230 0.129 0.746 S
0.378 0.976 0.255 S
0.382 0.484 0.254 S
0.516 0.770 0.898 S
0.722 0.124 0.745 S
0.871 0.618 0.102 S
0.876 0.622 0.598 S
```

Calculated values
- volume (Å³ per atom) = 24.14
- space group = I-4, No. 82
- energy relative to the elements, uncorrected (meV per atom) = -2178

***

The following is a PBE-GGA calculation of a relaxed structure of SrLa4S6, from Alexandria via LeMat-Bulk.

```
SrLa4S6
1.0
2.068 -6.904 0.000
2.068 6.904 0.000
0.000 0.000 20.992
Sr La S
2 8 12
Direct
0.157 0.843 0.750 Sr
0.843 0.157 0.250 Sr
0.095 0.905 0.132 La
0.095 0.905 0.368 La
0.363 0.637 0.042 La
0.363 0.637 0.458 La
0.637 0.363 0.542 La
0.637 0.363 0.958 La
0.905 0.095 0.632 La
0.905 0.095 0.868 La
0.000 0.000 0.000 S
0.000 0.000 0.500 S
0.192 0.808 0.250 S
0.271 0.729 0.587 S
0.271 0.729 0.913 S
0.457 0.543 0.164 S
0.457 0.543 0.336 S
0.543 0.457 0.664 S
0.543 0.457 0.836 S
0.729 0.271 0.087 S
0.729 0.271 0.413 S
0.808 0.192 0.750 S
```

Calculated values
- volume (Å³ per atom) = 27.24
- space group = Cmcm, No. 63
- energy relative to the elements, uncorrected (meV per atom) = -2140

***

The following is a PBE-GGA calculation of a relaxed structure of SrLaS2, from Alexandria via LeMat-Bulk.

```
SrLaS2
1.0
4.158 0.000 0.000
-2.079 3.601 0.000
0.000 0.000 14.164
Sr La S
2 2 4
Direct
0.333 0.667 0.250 Sr
0.667 0.333 0.750 Sr
0.000 0.000 0.000 La
0.000 0.000 0.500 La
0.333 0.667 0.620 S
0.333 0.667 0.880 S
0.667 0.333 0.120 S
0.667 0.333 0.380 S
```

Calculated values
- volume (Å³ per atom) = 26.51
- space group = P6_3/mmc, No. 194
- energy above the most stable polymorph in this dataset (meV/atom) = 34
- energy relative to the elements, uncorrected (meV per atom) = -2076

***

The following is a PBE-GGA calculation of a relaxed structure of SrLa2S, from Alexandria via LeMat-Bulk.

```
SrLa2S
1.0
-4.902 4.902 3.056
4.902 -4.902 3.056
4.902 4.902 -3.056
Sr La S
2 4 2
Direct
0.000 0.000 0.000 Sr
0.750 0.250 0.500 Sr
0.239 0.625 0.114 La
0.375 0.489 0.614 La
0.511 0.125 0.886 La
0.875 0.761 0.386 La
0.250 0.750 0.500 S
0.500 0.500 0.000 S
```

Calculated values
- volume (Å³ per atom) = 36.72
- space group = I-42d, No. 122
- energy relative to the elements, uncorrected (meV per atom) = -689

***

The following is a PBE-GGA calculation of a relaxed structure of SrLaS2, from Alexandria via LeMat-Bulk.

```
SrLaS2
1.0
2.058 1.188 7.299
-2.058 1.188 7.299
0.000 -2.377 7.299
Sr La S
1 1 2
Direct
0.000 0.000 0.000 Sr
0.826 0.826 0.826 La
0.242 0.242 0.242 S
0.414 0.414 0.414 S
```

Calculated values
- volume (Å³ per atom) = 26.78
- space group = R3m, No. 160
- energy above the most stable polymorph in this dataset (meV/atom) = 103
- energy relative to the elements, uncorrected (meV per atom) = -2007

***

Calculated raw total energy, -0.4665 -0.3470 -0.4008 -0.4386 -0.4083 -0.3940 -0.3139 -0.4716 -0.4657 -0.4257 -0.3384 -0.4207 Ry/atom (same order as the records).